No. 1
Computed, not measured: a geometry-optimized HfFe2SeCl structure at the PBEsol level of DFT.

Summary:
**Magnetization**: 4.40 μB/f.u.
**Formation energy (no corrections)**: 0.951 eV/atom

abc: 4.6339 4.7945 4.7945
angles: 90.00 90.00 90.00
Closest atoms and distances in Å follow each position.
Fractional coordinates of all 5 atoms:
Fe 0.0000 0.5000 0.0000  2 Hf 2.40
Fe 0.0000 0.0000 0.5000  2 Hf 2.40
Cl 0.5000 0.0000 0.0000  2 Hf 2.32
Se 0.5000 0.5000 0.5000  8 Fe 3.33, 4 Cl 3.39
Hf 0.0000 0.0000 0.0000  2 Cl 2.32, 4 Fe 2.40



No. 2
Computed, not measured: a geometry-optimized Fe3HgCl structure at the PBEsol level of DFT.

Summary:
**Magnetization**: 10.39 μB/f.u.
**E above lowest polymorph**: 0.972 eV/atom
**Formation energy (no corrections)**: 1.600 eV/atom

abc: 4.8835 4.8835 4.8835
angles: 90.00 90.00 90.00
Closest atoms and distances in Å follow each position.
Fractional coordinates of all 5 atoms:
Hg 0.0000 0.0000 0.0000  6 Fe 2.44
Fe 0.0000 0.5000 0.0000  2 Hg 2.44
Fe 0.0000 0.0000 0.5000  2 Hg 2.44
Fe 0.5000 0.0000 0.0000  2 Hg 2.44
Cl 0.5000 0.5000 0.5000  12 Fe 3.45



No. 3
Computed, not measured: a geometry-optimized FeHgCl2 structure at the PBEsol level of DFT.

Summary:
**Magnetization**: 3.93 μB/f.u.
**E above lowest polymorph**: 0.000 eV/atom
**Formation energy (no corrections)**: -0.449 eV/atom

abc: 3.3627 3.3632 9.3508
angles: 100.38 90.00 120.00
Closest atoms and distances in Å follow each position.
Fractional coordinates of all 4 atoms:
Hg 0.5000 0.0000 0.0000  6 Hg 3.36, 6 Cl 3.69
Cl 0.7189 0.4377 0.6566  3 Fe 2.41
Cl 0.2811 0.5623 0.3434  3 Fe 2.41
Fe 0.0000 0.0000 0.5000  6 Cl 2.41



No. 4
Computed, not measured: a geometry-optimized Fe3HgCl structure at the PBEsol level of DFT.

Summary:
**Magnetization**: 5.49 μB/f.u.
**E above lowest polymorph**: 0.000 eV/atom
**Formation energy (no corrections)**: 0.628 eV/atom

abc: 4.1134 4.1134 4.1134
angles: 90.00 90.00 90.00
Closest atoms and distances in Å follow each position.
Fractional coordinates of all 5 atoms:
Fe 0.0000 0.5000 0.0000  2 Cl 2.06
Fe 0.0000 0.0000 0.5000  2 Cl 2.06
Fe 0.5000 0.0000 0.0000  2 Cl 2.06
Cl 0.0000 0.0000 0.0000  6 Fe 2.06
Hg 0.5000 0.5000 0.5000  12 Fe 2.91



No. 5
Computed, not measured: a geometry-optimized FeHgCl2 structure at the PBEsol level of DFT.

Summary:
**Magnetization**: 3.23 μB/f.u.
**E above lowest polymorph**: 0.345 eV/atom
**Formation energy (no corrections)**: -0.104 eV/atom

abc: 3.4535 3.3630 8.5940
angles: 90.00 90.00 120.89
Closest atoms and distances in Å follow each position.
Fractional coordinates of all 4 atoms:
Fe 0.0000 0.0000 0.4961  2 Cl 2.28
Cl 0.0000 0.0000 0.9504  2 Hg 2.55
Cl 0.5000 0.0000 0.3221  2 Fe 2.28
Hg 0.5000 0.0000 0.7314  2 Cl 2.55, 2 Fe 2.66



No. 6
Computed, not measured: a geometry-optimized FeSbI2Cl structure at the PBEsol level of DFT.

Summary:
**Magnetization**: 2.54 μB/f.u.
**Formation energy (no corrections)**: 0.214 eV/atom

abc: 5.0494 5.1248 5.1248
angles: 90.00 90.00 90.00
Closest atoms and distances in Å follow each position.
Fractional coordinates of all 5 atoms:
I 0.0000 0.5000 0.0000  2 Fe 2.56
I 0.0000 0.0000 0.5000  2 Fe 2.56
Cl 0.5000 0.5000 0.5000  8 I 3.60, 4 Sb 3.62
Sb 0.5000 0.0000 0.0000  2 Fe 2.52
Fe 0.0000 0.0000 0.0000  2 Sb 2.52, 4 I 2.56



No. 7
Computed, not measured: a geometry-optimized InFe2Cl structure at the PBEsol level of DFT.

Summary:
**Magnetization**: 4.53 μB/f.u.
**E above lowest polymorph**: 0.000 eV/atom
**Formation energy (no corrections)**: 0.170 eV/atom

abc: 2.9946 4.4901 5.9580
angles: 90.04 104.56 90.00
Closest atoms and distances in Å follow each position.
Fractional coordinates of all 4 atoms:
Fe 0.6528 0.0004 0.3055  2 Fe 2.27, 2 Cl 2.35
Fe 0.0044 0.0002 0.0087  2 Fe 2.27
In 0.5326 0.5002 0.0652  6 Fe 2.64-2.72
Cl 0.3103 0.9993 0.6206  2 Fe 2.35



No. 8
Computed, not measured: a geometry-optimized InFeCl2 structure at the PBEsol level of DFT.

Summary:
**Magnetization**: 3.20 μB/f.u.
**Formation energy (no corrections)**: 0.081 eV/atom

abc: 3.2352 4.3485 5.6624
angles: 90.00 90.00 90.00
Closest atoms and distances in Å follow each position.
Fractional coordinates of all 4 atoms:
In 0.0000 0.5000 0.5000  4 Cl 2.71
Cl 0.0000 0.0000 0.0000  4 Fe 2.71
Cl 0.5000 0.0000 0.5000  4 In 2.71
Fe 0.5000 0.5000 0.0000  4 Cl 2.71



> The lowest formation energy (no corrections) belongs to which entry?

number 3



> Look up the magnetization of the first one.

4.40 μB/f.u.



> Among the records above, which one has the lowest formation energy (no corrections)?

number 3